1.
The following is a DFT calculation (GGA-PBE) of CsTl4Se2 after structural relaxation.

Output
As for the magnetization: 0.00 μB per cell. The value obtained for the uncorrected formation energy is -3.005 eV/f.u.

```
14
Lattice="5.4220 0.0000 0.0000 0.0000 9.5051 0.0000 0.0000 0.0000 9.5051" Properties=species:S:1:pos:R:3 pbc="T T T"
Cs 2.7110 0.0000 0.0000
Cs 0.0000 4.7525 4.7525
Tl 0.0000 0.8318 3.1982
Tl 0.0000 8.6732 6.3068
Tl 2.7110 1.5543 5.5843
Tl 2.7110 7.9508 3.9207
Tl 2.7110 3.9207 7.9508
Tl 2.7110 5.5843 1.5543
Tl 0.0000 3.1982 0.8318
Tl 0.0000 6.3068 8.6732
Se 0.0000 1.9705 7.5345
Se 0.0000 7.5345 1.9705
Se 2.7110 6.7230 6.7230
Se 2.7110 2.7820 2.7820
```

2.
The following is a DFT calculation (GGA-PBE) of Cs3TlSe3 after structural relaxation.

Output
As for the magnetization: 0.00 μB per cell. The value obtained for the uncorrected formation energy is -6.559 eV/f.u.

```
14
Lattice="8.9261 0.2720 -0.0894 -3.7331 8.1126 -0.0894 -0.8758 -1.4140 8.5074" Properties=species:S:1:pos:R:3 pbc="T T T"
Cs 2.8634 4.6232 2.8484
Cs -1.9448 6.0268 4.1643
Cs 6.2621 0.9438 4.1643
Cs -0.7146 6.2430 -0.0894
Cs 5.9076 2.1416 -0.0894
Cs 1.4539 2.3474 5.4802
Tl 3.5246 5.6908 7.0664
Tl 0.7927 1.2798 1.2622
Se 4.5213 7.3000 1.3254
Se 4.8687 3.6751 5.9923
Se 1.1212 5.9961 5.9923
Se -0.5514 3.2955 2.3363
Se 3.1961 0.9745 2.3363
Se -0.2040 -0.3294 7.0032
```

3.
The following is a DFT calculation (GGA-PBE) of CsTlSe2 after structural relaxation.

Output
As for the magnetization: 0.00 μB per cell. The value obtained for the uncorrected formation energy is -1.106 eV/f.u.

```
4
Lattice="2.4884 0.0000 9.7322 -1.2442 2.1550 9.7322 -1.2442 -2.1550 9.7322" Properties=species:S:1:pos:R:3 pbc="T T T"
Cs 0.0000 0.0000 0.0000
Tl 0.0000 0.0000 14.5982
Se 0.0000 0.0000 25.8649
Se 0.0000 0.0000 3.3315
```

4.
The following is a DFT calculation (GGA-PBE) of Cs3Tm2TlSe6 after structural relaxation.

Output
As for the magnetization: 0.00 μB per cell. The value obtained for the uncorrected formation energy is -15.602 eV/f.u.

```
12
Lattice="7.3710 -0.0019 0.0020 -3.6854 6.3836 0.0020 -1.2269 -2.1244 8.3734" Properties=species:S:1:pos:R:3 pbc="T T T"
Cs -2.4808 4.2714 4.1887
Cs 4.9396 -0.0141 4.1887
Cs 1.2294 2.1286 4.1887
Tm -0.0037 4.2572 0.0020
Tm 3.6893 2.1244 0.0020
Tl 0.0000 0.0000 0.0000
Se 3.7136 2.0832 6.8245
Se 2.4313 4.2098 1.5472
Se -1.2549 2.1741 1.5529
Se -0.0515 4.2577 6.8245
Se 0.0274 0.0474 6.8303
Se 2.5103 -0.0004 1.5529
```

5.
The following is a DFT calculation (GGA-PBE) of CsTmTlSe3 after structural relaxation.

Output
As for the magnetization: 0.00 μB per cell. The value obtained for the uncorrected formation energy is -7.115 eV/f.u.

```
12
Lattice="4.1767 0.0000 0.0000 0.0000 9.3163 -0.6335 0.0000 -3.1157 11.0178" Properties=species:S:1:pos:R:3 pbc="T T T"
Cs 1.0442 1.2605 2.7461
Cs 3.1325 4.9401 7.6381
Tm 1.0442 5.5223 1.1608
Tm 3.1325 0.6783 9.2234
Tl 1.0442 -0.5806 6.3181
Tl 3.1325 6.7811 4.0661
Se 3.1325 7.5053 1.4048
Se 1.0442 -1.3048 8.9794
Se 1.0442 4.9062 4.0109
Se 3.1325 1.2943 6.3733
Se 3.1325 3.6018 0.9899
Se 1.0442 2.5988 9.3944
```

6.
The following is a DFT calculation (GGA-PBE) of Cs2UTlSe4 after structural relaxation.

Output
As for the magnetization: 1.99 μB per cell. The value obtained for the uncorrected formation energy is -7.008 eV/f.u.

```
16
Lattice="-4.0752 -4.9255 -1.5910 3.3972 -7.8371 1.9221 -7.5458 -1.8531 11.4261" Properties=species:S:1:pos:R:3 pbc="T T T"
Cs -5.5783 -2.0709 7.0606
Cs -6.0427 -4.7077 2.7746
Cs -7.0982 -8.3214 9.8464
Cs -3.1631 -8.7570 1.1153
U -5.1307 -8.5392 5.4809
U 0.0000 0.0000 0.0000
Tl -3.0931 -6.0765 6.2764
Tl -2.0376 -2.4627 -0.7955
Se 0.8168 -7.5704 2.4818
Se -6.5264 -4.0064 10.2570
Se -7.9454 -12.6060 10.0465
Se -2.7927 -5.0485 0.7292
Se -2.5503 -8.8059 4.9212
Se -6.1502 -6.3859 6.6500
Se -5.4091 -10.5488 7.1916
Se -2.3380 -3.4907 4.7517
```

7.
The following is a DFT calculation (GGA-PBE) of CsUTlSe3 after structural relaxation.

Output
As for the magnetization: 4.00 μB per cell. The value obtained for the uncorrected formation energy is -5.778 eV/f.u.

```
12
Lattice="7.5486 -0.0276 0.0000 1.5760 7.8857 0.0000 0.7880 3.9428 7.9636" Properties=species:S:1:pos:R:3 pbc="T T T"
Cs 2.6752 3.9360 3.9147
Cs 7.2375 7.8650 4.0489
U 6.4495 3.9222 7.1157
U 3.4631 7.8788 0.8478
Tl 3.4631 7.8788 6.7000
Tl 6.4495 3.9222 1.2635
Se 5.8265 10.0607 7.3102
Se 8.6485 5.6694 7.3102
Se 6.4495 3.9222 4.4519
Se 4.0862 1.7403 0.6534
Se 1.2641 6.1316 0.6534
Se 3.4631 7.8788 3.5117
```

8.
The following is a DFT calculation (GGA-PBE) of CsUTl2Se5 after structural relaxation.

Output
As for the magnetization: 0.00 μB per cell. The value obtained for the uncorrected formation energy is -6.855 eV/f.u.

```
9
Lattice="-2.7867 -0.0255 -4.7560 -6.2135 -0.9848 3.6460 3.5426 8.4650 1.0733" Properties=species:S:1:pos:R:3 pbc="T T T"
Cs -3.1068 -0.4924 1.8230
U -1.3933 -0.0128 -2.3780
Tl -0.3860 3.2090 0.2089
Tl -5.0716 4.2457 -0.2457
Se -6.3115 1.1920 0.4973
Se 0.8540 6.2627 -0.5340
Se -2.3005 5.7627 1.3170
Se -3.1571 1.6919 -1.3537
Se 0.0000 0.0000 0.0000
```